Crystalline NpInAsO6 at its relaxed geometry, computed with PBE-GGA.

```
NpInAsO6
1.0
-2.0806 4.5579 -0.5865
-4.4934 -2.1527 -0.7890
-1.9308 0.3949 9.9188
Np In As O
2 2 2 12
direct
0.5000 0.5000 0.8331
0.0000 0.0000 0.3331
0.5000 0.5000 0.1615
0.0000 0.0000 0.6615
0.5000 0.5000 0.4683
0.0000 0.0000 0.9683
0.1891 0.8109 0.4860
0.8109 0.1891 0.4860
0.3109 0.3109 0.9860
0.6891 0.6891 0.9860
0.1933 0.8067 0.1933
0.8067 0.1933 0.1933
0.3067 0.3067 0.6933
0.6933 0.6933 0.6933
0.8197 0.1803 0.8393
0.1803 0.8197 0.8393
0.6803 0.6803 0.3393
0.3197 0.3197 0.3393
```

## Properties
- Volume: 14.30 A^3/atom
- VASP energy: -7.49 eV/atom
- Formation energy without anion corrections: -1.923 eV per atom



Crystalline InAsO3 at its relaxed geometry, computed with PBE-GGA.

```
InAsO3
1.0
-0.1957 -1.5617 3.7704
-0.7764 -3.6915 -1.5693
4.0065 -0.7917 -0.1200
As O In
1 3 1
direct
0.5000 0.5000 0.5000
0.0000 0.5000 0.0000
0.0000 0.0000 0.5000
0.5000 0.0000 0.0000
0.0000 0.0000 0.0000
```

## Properties
- Volume: 13.64 A^3/atom
- VASP energy: -4.66 eV/atom
- Formation energy without anion corrections: -0.207 eV per atom



Crystalline InAs2O6 at its relaxed geometry, computed with PBE-GGA.

```
InAs2O6
1.0
5.3407 0.0000 0.0000
2.6704 4.6252 0.0000
2.6704 1.5417 4.7786
In As O
1 2 6
direct
0.3105 0.3105 0.0684
0.7193 0.7193 0.8420
0.5223 0.5223 0.4332
0.6905 0.4855 0.6957
0.1283 0.6905 0.6957
0.4855 0.1283 0.6957
0.3294 0.6128 0.1907
0.8670 0.3294 0.1907
0.6128 0.8670 0.1907
```

## Properties
- Volume: 13.12 A^3/atom
- VASP energy: -5.67 eV/atom
- Formation energy without anion corrections: -1.023 eV per atom



Crystalline InAs2O at its relaxed geometry, computed with PBE-GGA.

```
InAs2O
1.0
-2.8125 2.8521 -3.1902
-3.9508 -3.1974 0.6244
-5.5295 3.4906 3.8856
As O In
4 2 2
direct
0.4619 0.1250 0.2500
0.2881 0.6250 0.2500
0.3750 0.5381 0.7500
0.8750 0.7119 0.7500
0.5000 0.5000 0.0000
0.2500 0.7500 0.5000
0.0000 0.0000 0.0000
0.7500 0.2500 0.5000
```

## Properties
- Volume: 21.93 A^3/atom
- ΔE to the lowest computed polymorph: 0.0000 eV/atom
- VASP energy: -4.33 eV/atom
- Formation energy without anion corrections: -0.077 eV per atom



Crystalline InAs2O at its relaxed geometry, computed with PBE-GGA.

```
InAs2O
1.0
0.0000 3.2591 3.2591
3.2591 0.0000 3.2591
3.2591 3.2591 0.0000
As O In
2 1 1
direct
0.2500 0.2500 0.2500
0.7500 0.7500 0.7500
0.0000 0.0000 0.0000
0.5000 0.5000 0.5000
```

## Properties
- Volume: 17.31 A^3/atom
- ΔE to the lowest computed polymorph: 0.4867 eV/atom
- VASP energy: -3.84 eV/atom
- Formation energy without anion corrections: 0.409 eV per atom



Crystalline InAsO3 at its relaxed geometry, computed with PBE-GGA.

```
InAsO3
1.0
-2.7869 2.6156 0.7199
-2.6768 -2.8190 -0.1200
0.4411 -0.5814 3.8202
As O In
1 3 1
direct
0.0000 0.0000 0.0000
0.0000 0.5000 0.0000
0.0000 0.0000 0.5000
0.5000 0.0000 0.0000
0.5000 0.5000 0.5000
```

## Properties
- Volume: 11.77 A^3/atom
- VASP energy: -5.23 eV/atom
- Formation energy without anion corrections: -0.776 eV per atom



Crystalline InAsO3 at its relaxed geometry, computed with PBE-GGA.

```
InAsO3
1.0
4.3382 0.0633 0.3075
0.2909 4.3289 0.3075
0.0667 0.0633 4.3486
In As O
1 1 3
direct
0.4289 0.4289 0.4289
0.0747 0.0747 0.0747
0.9166 0.3524 0.3524
0.3524 0.9166 0.3524
0.3524 0.3524 0.9166
```

## Properties
- Volume: 16.28 A^3/atom
- VASP energy: -5.81 eV/atom
- Formation energy without anion corrections: -1.360 eV per atom



Crystalline InAsO3 at its relaxed geometry, computed with PBE-GGA.

```
InAsO3
1.0
6.1909 0.0000 0.0000
0.0000 5.2516 0.0000
0.0000 0.0000 8.0258
In As O
4 4 12
direct
0.0000 0.5000 0.0000
0.5000 0.0000 0.5000
0.5000 0.0000 0.0000
0.0000 0.5000 0.5000
0.5105 0.5203 0.7500
0.9894 0.0203 0.2500
0.4894 0.4797 0.2500
0.0106 0.9797 0.7500
0.8193 0.1362 0.0762
0.6807 0.6362 0.5762
0.6807 0.6362 0.9238
0.1807 0.8638 0.5762
0.1807 0.8638 0.9238
0.3193 0.3638 0.4238
0.3193 0.3638 0.0762
0.8193 0.1362 0.4238
0.0656 0.3228 0.7500
0.4344 0.8228 0.2500
0.9344 0.6772 0.2500
0.5656 0.1772 0.7500
```

## Properties
- Volume: 13.05 A^3/atom
- VASP energy: -5.79 eV/atom
- Formation energy without anion corrections: -1.336 eV per atom



The N(E_F) results, record by record, are as follows: 0.031; 0.446; 0.294; 0.344; 0.503; 0.333; 0.000; 0.000 states/eV/atom.